# 1
5
Lattice="-3.321 2.096 0.773 -2.011 -3.408 0.602 0.964 0.110 3.840" Properties=species:S:1:pos:R:3 comment="NbZnTc2H PBE relaxed" spacegroup="No. 123" magmom_total_mub_per_fu=0.0 n_ef_per_ev_cell=4.319 vol_a3_per_cell=63.46 final_energy_ev_per_cell=-35.36 polymorph_energy_ev_per_atom=0.000 pbc="T T T"
H 0.000 0.000 0.000
Tc -1.661 1.048 0.387
Tc -1.005 -1.704 0.301
Nb 0.482 0.055 1.920
Zn -2.184 -0.601 2.608


# 2
9
Lattice="-1.369 -2.159 4.956 -1.927 -5.036 0.412 5.260 -2.021 0.706" Properties=species:S:1:pos:R:3 comment="BaLiPdF6 PBE relaxed" spacegroup="No. 5" magmom_total_mub_per_fu=1.0 vol_a3_per_cell=146.71 final_energy_ev_per_cell=-42.95 raw_formation_energy_ev_per_atom=-2.5218 pbc="T T T"
F 0.714 -2.010 3.331
F 3.156 -2.237 2.295
F -0.094 -4.540 2.267
F 2.188 -4.732 3.790
F -0.612 -4.618 5.255
F 2.434 -4.577 0.817
Ba -1.370 -2.163 4.954
Li 0.461 -5.717 3.978
Pd 1.538 -3.388 2.153


# 3
4
Lattice="4.080 0.433 1.748 0.701 -0.974 4.296 2.347 -3.627 1.110" Properties=species:S:1:pos:R:3 comment="BAu2S PBE relaxed" spacegroup="No. 225" magmom_total_mub_per_fu=0.0 n_ef_per_ev_cell=0.979 vol_a3_per_cell=62.74 final_energy_ev_per_cell=-13.23 polymorph_energy_ev_per_atom=0.501 raw_formation_energy_ev_per_atom=1.0312 pbc="T T T"
B 0.000 0.000 0.000
Au 1.782 -1.042 1.789
Au 5.346 -3.126 5.366
S 3.564 -2.084 3.577